1.
5
Lattice="4.7400 0.0000 0.0000 0.0000 4.7400 0.0000 0.0000 0.0000 4.1286" Properties=species:S:1:pos:R:3 comment="TeMoOF2 GGA+U optimized geometry" sg=P4/mmm e_above_lowest_polymorph_mev_per_atom=545 pbc="T T T"
Te 0.0000 0.0000 0.0000
Mo 2.3700 2.3700 2.0643
O 0.0000 0.0000 2.0643
F 0.0000 2.3700 0.0000
F 2.3700 0.0000 0.0000

---

2.
5
Lattice="4.2417 0.0000 0.0000 0.0000 4.2417 0.0000 0.0000 0.0000 4.3899" Properties=species:S:1:pos:R:3 comment="TeMoOF2 GGA+U optimized geometry" sg=P4/mmm e_above_lowest_polymorph_mev_per_atom=0 pbc="T T T"
Te 0.0000 0.0000 0.0000
Mo 2.1209 2.1209 2.1949
O 2.1209 2.1209 0.0000
F 0.0000 2.1209 2.1949
F 2.1209 0.0000 2.1949

---

3.
120
Lattice="9.1826 0.0000 0.0000 0.0000 11.6673 0.0000 -4.3280 0.0000 20.0642" Properties=species:S:1:pos:R:3 comment="Te4MoO5F20 GGA+U optimized geometry" sg=P2_1/c e_above_lowest_polymorph_mev_per_atom=0 pbc="T T T"
Te -0.6362 2.8820 4.1099
Te -2.8001 2.9516 14.1420
Te -2.2464 1.5593 19.2584
Te -0.0824 4.2743 9.2263
Te 2.6330 7.4090 0.8185
Te 0.4690 10.0920 10.8505
Te 1.1393 6.2454 14.7955
Te 3.3033 11.2555 4.7634
Te 1.5513 0.4118 15.3008
Te 3.7153 5.4219 5.2687
Te 4.3856 1.5753 9.2136
Te 2.2216 4.2583 19.2457
Te 4.9370 7.3930 10.8379
Te 7.1010 10.1080 0.8058
Te 7.6548 8.7157 5.9222
Te 5.4908 8.7853 15.9543
Mo 1.5224 1.9856 6.8795
Mo -0.6415 3.8481 16.9116
Mo 5.4962 7.8192 3.1526
Mo 3.3322 9.6817 13.1846
O 0.4081 0.7740 7.2333
O -1.7559 5.0597 17.2654
O 0.9518 2.6078 5.1371
O -1.2122 3.2258 15.1692
O -1.4697 2.2805 17.6731
O 0.6943 3.5532 7.6411
O 2.9509 1.0205 5.9285
O 0.7870 4.8131 15.9606
O 2.7022 1.9313 8.4050
O 0.5382 3.9024 18.4371
O 4.3164 7.7649 1.6271
O 2.1525 9.7360 11.6592
O 4.0677 6.8541 4.1035
O 1.9037 10.6468 14.1356
O 4.1604 8.1141 12.4231
O 6.3244 9.3868 2.3910
O 6.0668 8.4415 4.8950
O 3.9028 9.0595 14.9270
O 6.6105 6.6076 2.7988
O 4.4466 10.8933 12.8308
F -3.9195 1.5396 18.4250
F -1.7555 4.2940 8.3929
F -2.9967 1.2315 14.8494
F -0.8328 4.6022 4.8173
F -0.4757 1.1694 3.3808
F -2.6397 4.6643 13.4129
F -0.4430 8.0341 4.5523
F -2.6069 9.4668 14.5844
F -1.7619 2.2591 12.7540
F 0.4020 3.5746 2.7219
F -3.3147 7.0499 20.0271
F -1.1507 10.4510 9.9950
F 1.2986 0.8287 0.7230
F -0.8654 5.0050 10.7551
F -2.1590 8.5114 16.9858
F 0.0049 8.9895 6.9537
F -0.4336 2.5581 9.8909
F -2.5976 3.2756 19.9230
F 0.2735 5.9930 8.5947
F -1.8905 11.5079 18.6267
F 1.6963 7.7817 2.3957
F -0.4676 9.7192 12.4278
F -0.6661 6.6649 14.5377
F 1.4979 10.8361 4.5056
F 0.3122 8.3027 10.3413
F 2.4761 9.1983 0.3092
F -0.2859 0.1185 15.1520
F 1.8781 5.7151 5.1200
F 0.5698 0.2255 11.3490
F 2.7337 5.6082 1.3169
F -0.8010 7.0211 19.2861
F 1.3630 10.4798 9.2540
F 3.7346 1.5643 0.0737
F 1.5707 4.2693 10.1058
F 3.2617 0.6816 3.2489
F 1.0977 5.1520 13.2810
F 1.4769 1.6472 13.8985
F 3.6409 4.1865 3.8664
F 1.5494 7.6987 13.6321
F 3.7133 9.8022 3.6001
F 1.1413 1.8651 16.4641
F 3.3053 3.9686 6.4320
F 1.2138 7.4808 16.1977
F 3.3777 10.0201 6.1657
F 3.7569 6.5153 6.7831
F 1.5930 10.9857 16.8152
F 3.2840 7.3979 9.9584
F 1.1200 10.1030 19.9905
F 3.4917 1.1875 10.8101
F 5.6556 4.6462 0.7781
F 2.1209 6.0591 18.7472
F 4.2849 11.4418 8.7152
F 2.9765 5.9522 14.9442
F 5.1405 11.5488 4.9121
F 2.3785 2.4690 19.7549
F 4.5425 3.3646 9.7229
F 3.3567 0.8312 15.5586
F 5.5207 5.0024 5.5265
F 5.3223 1.9481 7.6364
F 3.1583 3.8856 17.6684
F 6.7451 0.1594 1.4374
F 4.5811 5.6743 11.4695
F 7.4522 8.3917 0.1412
F 5.2882 9.1092 10.1733
F 4.8497 2.6778 13.1105
F 7.0137 3.1559 3.0784
F 5.7200 6.6623 9.3091
F 3.5560 10.8386 19.3411
F 6.0054 1.2163 10.0692
F 8.1694 4.6174 0.0371
F 4.4526 8.0927 17.3422
F 6.6166 9.4082 7.3102
F 7.4616 2.2005 5.4798
F 5.2976 3.6332 15.5118
F 7.4944 7.0030 6.6513
F 5.3304 10.4979 16.6834
F 5.6874 7.0651 15.2468
F 7.8514 10.4358 5.2148
F 6.6102 7.3733 11.6713
F 8.7741 10.1277 1.6392

---

4.
43
Lattice="9.3599 0.0000 0.0000 1.2281 9.2864 0.0000 4.2418 3.0181 7.9578" Properties=species:S:1:pos:R:3 comment="Te6MoO6F30 GGA+U optimized geometry" sg=P-1 total_energy_ev_per_atom=-4.45 pbc="T T T"
Te 1.3121 2.8611 1.9261
Te 13.5177 9.4435 6.0317
Te 4.2034 7.1968 0.6318
Te 5.9108 4.0652 4.8367
Te 8.9190 8.2394 3.1211
Te 10.6264 5.1078 7.3260
Mo 0.0000 0.0000 0.0000
O 0.5564 1.7655 0.5478
O 4.6061 3.5064 6.1254
O 3.0430 8.6673 0.2238
O 11.7868 3.6372 7.7340
O 10.2237 8.7982 1.8324
O 14.2733 10.5390 7.4099
F 3.4166 8.3777 4.6940
F 5.1961 7.9974 6.5876
F 2.3713 1.4315 2.5064
F 2.8937 6.4315 1.7287
F 2.6739 3.3956 0.7675
F 5.5136 9.9506 4.8477
F 4.9289 5.6154 4.4965
F 4.8888 8.1362 2.0910
F 4.9732 3.1864 3.4847
F 7.7916 9.2512 7.1260
F 6.8793 4.9623 6.1634
F 5.3331 5.7723 1.0465
F 6.9162 2.5187 5.1470
F 7.6527 7.6911 4.3760
F 5.0571 1.3608 0.4577
F 9.7727 10.9437 7.5001
F 7.1771 4.6135 3.5818
F 7.9136 9.7859 2.8108
F 9.4967 6.5323 6.9113
F 7.9505 7.3423 1.7944
F 7.0381 3.0534 0.8318
F 9.8566 9.1181 4.4731
F 9.9410 4.1684 5.8667
F 9.9009 6.6892 3.4613
F 9.3161 2.3540 3.1101
F 12.1559 8.9089 7.1903
F 11.9361 5.8731 6.2291
F 12.4585 10.8730 5.4513
F 9.6337 4.3072 1.3702
F 11.4132 3.9268 3.2638

---

5.
60
Lattice="9.6517 0.0000 0.0000 1.5207 10.2043 0.0000 0.4664 3.3326 10.0788" Properties=species:S:1:pos:R:3 comment="Te4MoO5F20 GGA+U optimized geometry" sg=P-1 e_above_lowest_polymorph_mev_per_atom=2 pbc="T T T"
Te 1.7584 0.9710 1.8895
Te 2.6773 6.2164 1.9767
Te 3.4890 4.1321 6.8722
Te 4.2862 9.3788 6.8621
Te 7.3527 4.1581 3.2167
Te 8.1498 9.4048 3.2066
Te 8.9615 7.3205 8.1021
Te 9.8805 12.5659 8.1892
Mo 4.4195 11.7720 9.5422
Mo 7.2193 1.7649 0.5366
O 2.7540 7.7469 0.8208
O 3.6849 10.4375 8.3386
O 3.9237 10.1462 0.4499
O 4.9623 12.8213 8.0212
O 5.8946 11.0950 9.9901
O 5.7442 2.4419 0.0887
O 6.6765 0.7156 2.0576
O 7.7152 3.3907 9.6289
O 7.9539 3.0994 1.7401
O 8.8848 5.7900 9.2580
F 2.0361 12.9028 8.7174
F 1.0345 5.7480 1.2263
F 1.7946 7.2100 3.2857
F 1.0691 1.9914 3.2907
F 2.5197 8.9453 6.4478
F 1.8643 3.6529 6.0835
F 1.7326 2.5052 0.8270
F 3.2146 9.6950 3.0302
F 2.5783 5.1660 8.1372
F 2.5754 4.7155 3.0806
F 4.1856 10.8612 5.7217
F 3.5714 5.6257 5.7573
F 3.5754 5.1635 0.7112
F 4.3986 7.8693 7.9585
F 3.4923 1.3774 2.4491
F 4.3198 6.6674 2.7527
F 4.8636 8.3486 5.4178
F 4.4109 3.1361 5.5925
F 5.1173 4.6538 7.6344
F 6.0779 9.7892 7.2391
F 5.5609 3.7477 2.8396
F 6.5216 8.8831 2.4444
F 7.2280 10.4008 4.4862
F 6.7752 5.1883 4.6610
F 7.3191 6.8695 7.3260
F 8.1465 12.1595 7.6297
F 7.2402 5.6676 2.1203
F 8.0635 8.3734 9.3676
F 8.0674 7.9112 4.3215
F 7.4533 2.6757 4.3570
F 9.0634 8.8214 6.9982
F 9.0606 8.3709 1.9416
F 8.4242 3.8419 7.0486
F 9.9062 11.0317 9.2517
F 9.7746 9.8840 3.9953
F 9.1192 4.5916 3.6310
F 10.5697 11.5455 6.7880
F 9.8442 6.3269 6.7931
F 10.6044 7.7889 8.8525
F 9.6027 0.6341 1.3614

---

6.
5
Lattice="4.1637 0.0000 0.0000 0.0000 4.1637 0.0000 0.0000 0.0000 6.4158" Properties=species:S:1:pos:R:3 comment="TlMo2OF GGA+U optimized geometry" sg=P4/mmm total_energy_ev_per_atom=-4.55 pbc="T T T"
Tl 0.0000 0.0000 0.0000
Mo 0.0000 2.0818 3.2079
Mo 2.0818 0.0000 3.2079
O 0.0000 0.0000 3.2079
F 2.0818 2.0818 0.0000

---

7.
5
Lattice="4.0869 0.0000 0.0000 0.0000 4.0869 0.0000 0.0000 0.0000 4.3927" Properties=species:S:1:pos:R:3 comment="TlMoO2F GGA+U optimized geometry" sg=P4/mmm total_energy_ev_per_atom=-5.79 pbc="T T T"
Tl 0.0000 0.0000 0.0000
Mo 2.0434 2.0434 2.1964
O 0.0000 2.0434 2.1964
O 2.0434 0.0000 2.1964
F 2.0434 2.0434 0.0000

---

8.
12
Lattice="2.6084 -9.8114 0.0000 2.6084 9.8114 0.0000 -0.1541 0.0000 5.4424" Properties=species:S:1:pos:R:3 comment="TlMoO3F GGA+U optimized geometry" sg=C2/c total_energy_ev_per_atom=-5.84 pbc="T T T"
Tl 2.4928 5.2485 4.0818
Tl 2.5699 -5.2485 1.3606
Mo 2.5699 0.5987 1.3606
Mo 2.4928 -0.5987 4.0818
O 1.2860 -0.0070 2.6805
O 1.2090 0.0070 5.4017
O 2.5699 2.3081 1.3606
O 2.4928 -2.3081 4.0818
O 3.8537 -0.0070 0.0407
O 3.7767 0.0070 2.7619
F 2.5699 5.4166 1.3606
F 2.4928 -5.4166 4.0818

---

9.
5
Lattice="4.3256 0.0000 0.0000 0.0000 4.3256 0.0000 0.0000 0.0000 4.3808" Properties=species:S:1:pos:R:3 comment="TlMoO2F GGA+U optimized geometry" sg=P4/mmm total_energy_ev_per_atom=-4.53 pbc="T T T"
Tl 0.0000 0.0000 0.0000
Mo 2.1628 2.1628 2.1904
O 0.0000 2.1628 0.0000
O 2.1628 0.0000 0.0000
F 0.0000 0.0000 2.1904

---

10.
5
Lattice="4.3426 0.0000 0.0000 0.0000 4.3426 0.0000 0.0000 0.0000 4.2276" Properties=species:S:1:pos:R:3 comment="TlMoOF2 GGA+U optimized geometry" sg=P4/mmm e_above_lowest_polymorph_mev_per_atom=0 pbc="T T T"
Tl 0.0000 0.0000 0.0000
Mo 2.1713 2.1713 2.1138
O 2.1713 2.1713 0.0000
F 0.0000 2.1713 2.1138
F 2.1713 0.0000 2.1138

---

11.
9
Lattice="-3.1412 3.1412 4.5580 3.1412 -3.1412 4.5580 3.1412 3.1412 -4.5580" Properties=species:S:1:pos:R:3 comment="Tl2MoOF5 GGA+U optimized geometry" sg=I4mm total_energy_ev_per_atom=-5.02 pbc="T T T"
Tl 3.1412 0.0000 0.0000
Tl 0.0000 3.1412 0.0000
Mo 0.0000 0.0000 2.1423
O 0.0000 0.0000 3.8859
F 0.0000 0.0000 0.0940
F 1.4052 1.4052 1.8997
F 1.7359 -1.7359 6.4577
F -1.7359 1.7359 6.4577
F 1.7359 1.7359 6.4577

---

12.
5
Lattice="4.5613 0.0000 0.0000 0.0000 4.5613 0.0000 0.0000 0.0000 4.2645" Properties=species:S:1:pos:R:3 comment="TlMoOF2 GGA+U optimized geometry" sg=P4/mmm e_above_lowest_polymorph_mev_per_atom=1050 pbc="T T T"
Tl 0.0000 0.0000 0.0000
Mo 2.2806 2.2806 2.1322
O 0.0000 0.0000 2.1322
F 0.0000 2.2806 0.0000
F 2.2806 0.0000 0.0000

---

13.
5
Lattice="4.1609 0.0000 0.0000 0.0000 4.1609 0.0000 0.0000 0.0000 3.8982" Properties=species:S:1:pos:R:3 comment="VMoOF2 GGA+U optimized geometry" sg=P4/mmm e_above_lowest_polymorph_mev_per_atom=0 pbc="T T T"
V 0.0000 0.0000 0.0000
Mo 2.0805 2.0805 1.9491
O 0.0000 0.0000 1.9491
F 0.0000 2.0805 0.0000
F 2.0805 0.0000 0.0000

---

14.
5
Lattice="4.2227 0.0000 0.0000 0.0000 4.2227 0.0000 0.0000 0.0000 4.2157" Properties=species:S:1:pos:R:3 comment="VMoOF2 GGA+U optimized geometry" sg=P4/mmm e_above_lowest_polymorph_mev_per_atom=536 pbc="T T T"
V 0.0000 0.0000 0.0000
Mo 2.1114 2.1114 2.1079
O 2.1114 2.1114 0.0000
F 0.0000 2.1114 2.1079
F 2.1114 0.0000 2.1079

---

15.
5
Lattice="4.1132 0.0000 0.0000 0.0000 4.1132 0.0000 0.0000 0.0000 4.1198" Properties=species:S:1:pos:R:3 comment="VMoO2F GGA+U optimized geometry" sg=P4/mmm total_energy_ev_per_atom=-5.99 pbc="T T T"
V 0.0000 0.0000 0.0000
Mo 2.0566 2.0566 2.0599
O 0.0000 2.0566 2.0599
O 2.0566 0.0000 2.0599
F 2.0566 2.0566 0.0000

---

16.
5
Lattice="3.9500 0.0000 0.0000 0.0000 3.9500 0.0000 0.0000 0.0000 3.9789" Properties=species:S:1:pos:R:3 comment="VMoO2F GGA+U optimized geometry" sg=P4/mmm total_energy_ev_per_atom=-6.58 pbc="T T T"
V 0.0000 0.0000 0.0000
Mo 1.9750 1.9750 1.9894
O 0.0000 1.9750 0.0000
O 1.9750 0.0000 0.0000
F 0.0000 0.0000 1.9894